TbPr2Sn7 after structural relaxation, computed with PBE-GGA.

As for the space group: Cmmm (65). The total energy comes out at -48.0 eV/cell.

abc: 13.2287 13.2287 4.6293
angles: 90.00 90.00 160.23
With the nearest neighbours (Å) after each atom.
Atoms (fractional coordinates):
Tb1 0.0000 0.0000 0.0000  12 Sn 3.24-3.37
Pr1 0.1854 0.8146 0.0000  10 Sn 3.30-3.56
Pr2 0.8146 0.1854 0.0000  10 Sn 3.30-3.56
Sn1 0.0942 0.9058 0.5000  6 Sn 3.24-3.35, 2 Pr 3.32, 2 Tb 3.37
Sn2 0.2892 0.7108 0.5000  2 Sn 3.06, 4 Pr 3.31
Sn3 0.4065 0.5935 0.0000  6 Sn 3.24-3.36, 2 Pr 3.30, 2 Tb 3.33
Sn4 0.5000 0.5000 0.5000  4 Tb 3.24, 8 Sn 3.35-3.36
Sn5 0.5935 0.4065 0.0000  6 Sn 3.24-3.36, 2 Pr 3.30, 2 Tb 3.33
Sn6 0.7108 0.2892 0.5000  2 Sn 3.06, 4 Pr 3.31
Sn7 0.9058 0.0942 0.5000  6 Sn 3.24-3.35, 2 Pr 3.32, 2 Tb 3.37